(1)
Crystalline ErThSbAs at its relaxed geometry. Source: Alexandria, functional PBE.

## Properties
Space-group type: R3m
Density of states at the Fermi level: 2.02 states/eV per cell
Formation energy without anion corrections: -1.2146 eV/atom

Cell lengths 7.461, 7.461, 7.461 Å; angles 33.44, 33.44, 33.44 degrees
Atoms (fractional coordinates):
Er1 0.000 0.000 0.000
Th1 0.487 0.487 0.487
Sb1 0.247 0.247 0.247
As1 0.740 0.740 0.740

---

(2)
Crystalline ErTmSbAs at its relaxed geometry. Source: Alexandria, functional PBE.

## Properties
Space-group type: R3m
Density of states at the Fermi level: 0.91 states/eV per cell
Formation energy without anion corrections: -1.1792 eV/atom

Cell lengths 7.511, 7.511, 7.511 Å; angles 32.21, 32.21, 32.21 degrees
Atoms (fractional coordinates):
Er1 0.000 0.000 0.000
Tm1 0.181 0.181 0.181
Sb1 0.758 0.758 0.758
As1 0.588 0.588 0.588

---

(3)
Crystalline ErScAs2 at its relaxed geometry. Source: Alexandria, functional PBE.

## Properties
Space-group type: R-3m
Energy: -26.0 eV for the cell shown
Density of states at the Fermi level: 0.60 states/eV per cell

Cell lengths 6.888, 6.888, 6.888 Å; angles 33.64, 33.64, 33.64 degrees
Atoms (fractional coordinates):
Er1 0.000 0.000 0.000
Sc1 0.500 0.500 0.500
As1 0.246 0.246 0.246
As2 0.754 0.754 0.754

---

(4)
Crystalline ErSc5As6 at its relaxed geometry. Source: Alexandria, functional PBE.

## Properties
Space-group type: C2/m
Energy: -80.8 eV for the cell shown
Density of states at the Fermi level: 1.91 states/eV per cell

Cell lengths 6.784, 6.784, 6.782 Å; angles 99.61, 99.61, 119.99 degrees
Atoms (fractional coordinates):
Er1 0.000 0.000 0.000
Sc1 0.165 0.835 0.500
Sc2 0.333 0.667 0.000
Sc3 0.500 0.500 0.500
Sc4 0.667 0.333 0.000
Sc5 0.835 0.165 0.500
As1 0.085 0.425 0.255
As2 0.256 0.256 0.747
As3 0.425 0.085 0.255
As4 0.575 0.915 0.745
As5 0.744 0.744 0.253
As6 0.915 0.575 0.745

---

(5)
Crystalline ErSc4As5 at its relaxed geometry. Source: Alexandria, functional PBE.

## Properties
Space-group type: Immm
Energy: -67.1 eV for the cell shown
Density of states at the Fermi level: 1.84 states/eV per cell

Cell lengths 10.368, 10.368, 10.368 Å; angles 158.20, 148.91, 38.29 degrees
Atoms (fractional coordinates):
Er1 0.000 0.000 0.000
Sc1 0.202 0.202 0.000
Sc2 0.399 0.399 0.000
Sc3 0.601 0.601 0.000
Sc4 0.798 0.798 0.000
As1 0.105 0.605 0.500
As2 0.301 0.801 0.500
As3 0.500 0.000 0.500
As4 0.699 0.199 0.500
As5 0.895 0.395 0.500

---

(6)
Crystalline Er5Sc3As8 at its relaxed geometry. Source: Alexandria, functional PBE.

## Properties
Space-group type: R-3m
Energy: -102.3 eV for the cell shown
Density of states at the Fermi level: 2.67 states/eV per cell

Cell lengths 8.016, 8.016, 8.016 Å; angles 60.04, 60.04, 60.04 degrees
Atoms (fractional coordinates):
Er1 0.000 0.000 0.000
Er2 0.000 0.500 0.500
Er3 0.500 0.000 0.500
Er4 0.500 0.500 0.000
Er5 0.500 0.500 0.500
Sc1 0.000 0.000 0.500
Sc2 0.000 0.500 0.000
Sc3 0.500 0.000 0.000
As1 0.242 0.750 0.750
As2 0.246 0.246 0.246
As3 0.250 0.250 0.758
As4 0.250 0.758 0.250
As5 0.750 0.242 0.750
As6 0.750 0.750 0.242
As7 0.754 0.754 0.754
As8 0.758 0.250 0.250

---

(7)
Crystalline ErSc2As at its relaxed geometry. Source: Alexandria, functional PBE.

## Properties
Space-group type: Cmcm
Energy: -49.7 eV for the cell shown
Density of states at the Fermi level: 9.81 states/eV per cell

Cell lengths 5.920, 5.920, 8.530 Å; angles 90.00, 90.00, 141.75 degrees
Atoms (fractional coordinates):
Er1 0.060 0.940 0.750
Er2 0.940 0.060 0.250
Sc1 0.357 0.643 0.553
Sc2 0.357 0.643 0.947
Sc3 0.643 0.357 0.053
Sc4 0.643 0.357 0.447
As1 0.238 0.762 0.250
As2 0.762 0.238 0.750

---

(8)
Crystalline ErScAs2 at its relaxed geometry. Source: Alexandria, functional PBE.

## Properties
Space-group type: R3m
Energy: -25.4 eV for the cell shown
Density of states at the Fermi level: 0.39 states/eV per cell

Cell lengths 7.135, 7.135, 7.135 Å; angles 32.20, 32.20, 32.20 degrees
Atoms (fractional coordinates):
Er1 0.000 0.000 0.000
Sc1 0.829 0.829 0.829
As1 0.417 0.417 0.417
As2 0.578 0.578 0.578

---

(9)
Crystalline ErSc2As at its relaxed geometry. Source: Alexandria, functional PBE.

## Properties
Space-group type: R-3m
Energy: -24.0 eV for the cell shown
Density of states at the Fermi level: 5.27 states/eV per cell

Cell lengths 9.124, 9.124, 9.124 Å; angles 23.13, 23.13, 23.13 degrees
Atoms (fractional coordinates):
Er1 0.000 0.000 0.000
Sc1 0.227 0.227 0.227
Sc2 0.773 0.773 0.773
As1 0.500 0.500 0.500

---

(10)
Crystalline ErSc5As4 at its relaxed geometry. Source: Alexandria, functional PBE.

## Properties
Space-group type: C2/m
Energy: -65.0 eV for the cell shown
Density of states at the Fermi level: 5.14 states/eV per cell

Cell lengths 8.594, 8.594, 7.611 Å; angles 105.74, 105.74, 26.13 degrees
Atoms (fractional coordinates):
Er1 0.000 0.000 0.000
Sc1 0.000 0.000 0.500
Sc2 0.327 0.327 0.653
Sc3 0.338 0.338 0.156
Sc4 0.662 0.662 0.844
Sc5 0.673 0.673 0.347
As1 0.175 0.175 0.102
As2 0.494 0.494 0.733
As3 0.506 0.506 0.267
As4 0.825 0.825 0.898

---

(11)
Crystalline ErScAsSe at its relaxed geometry. Source: Alexandria, functional PBE.

## Properties
Space-group type: R3m
Density of states at the Fermi level: 2.77 states/eV per cell
Formation energy without anion corrections: -1.5439 eV/atom

Cell lengths 7.182, 7.182, 7.182 Å; angles 31.53, 31.53, 31.53 degrees
Atoms (fractional coordinates):
Er1 0.000 0.000 0.000
Sc1 0.180 0.180 0.180
As1 0.583 0.583 0.583
Se1 0.761 0.761 0.761

---

(12)
Crystalline SmEr2ScAs4 at its relaxed geometry. Source: Alexandria, functional PBE.

## Properties
Space-group type: P2/m
Energy: -50.4 eV for the cell shown
Density of states at the Fermi level: 0.89 states/eV per cell

Cell lengths 7.045, 4.076, 7.053 Å; angles 90.00, 109.47, 90.00 degrees
Atoms (fractional coordinates):
Sm1 0.000 0.000 0.000
Er1 0.000 0.500 0.500
Er2 0.500 0.000 0.500
Sc1 0.500 0.500 0.000
As1 0.260 0.500 0.252
As2 0.261 0.000 0.755
As3 0.739 0.000 0.245
As4 0.740 0.500 0.748